Record 1
PaSiNi | PBE | optimized geometry

a = 4.388 Å, b = 4.388 Å, c = 4.388 Å
α = 60.00°, β = 60.00°, γ = 60.00°
Fractional coordinates of all 3 atoms:
Pa: 0.000 0.000 0.000
Si: 0.750 0.750 0.750
Ni: 0.500 0.500 0.500

**Total moment**: 0.00 μB/atom
**E_tot**: -0.2508 hartree per atom


Record 2
PaSiNi | PBE | optimized geometry

a = 4.510 Å, b = 4.510 Å, c = 4.510 Å
α = 60.00°, β = 60.00°, γ = 60.00°
Fractional coordinates of all 3 atoms:
Pa: 0.000 0.000 0.000
Si: 0.250 0.250 0.250
Ni: 0.750 0.750 0.750

**Total moment**: 0.00 μB/atom
**E_tot**: -0.2403 hartree per atom